## one
Material: BeGe3Pb
Method: DFT, PBE
State: optimized geometry

Properties
The calculated density is 4511 kg/m³. The density of states at the Fermi level comes out at 4.53 states/eV/cell.

Structure (CIF):
```
data_BeGe3Pb
_chemical_formula_sum 'Be1 Ge3 Pb1'
_cell_length_a 5.427
_cell_length_b 5.427
_cell_length_c 5.427
_cell_angle_alpha 90.00
_cell_angle_beta 90.00
_cell_angle_gamma 90.00
_space_group_name_H-M_alt 'P m -3 m'
_space_group_IT_number 221
_space_group_name_Hall '-P 4 2 3'
loop_
_atom_site_label
_atom_site_type_symbol
_atom_site_fract_x
_atom_site_fract_y
_atom_site_fract_z
Be1 Be 0.000 0.000 0.000
Ge1 Ge 0.000 0.500 0.500
Pb1 Pb 0.500 0.500 0.500
```

## two
Material: BeGe3Pb
Method: DFT, PBE
State: optimized geometry

Properties
The calculated density is 7037 kg/m³. The density of states at the Fermi level comes out at 4.55 states/eV/cell.

Structure (CIF):
```
data_BeGe3Pb
_chemical_formula_sum 'Be1 Ge3 Pb1'
_cell_length_a 4.679
_cell_length_b 4.679
_cell_length_c 4.679
_cell_angle_alpha 90.00
_cell_angle_beta 90.00
_cell_angle_gamma 90.00
_space_group_name_H-M_alt 'P m -3 m'
_space_group_IT_number 221
_space_group_name_Hall '-P 4 2 3'
loop_
_atom_site_label
_atom_site_type_symbol
_atom_site_fract_x
_atom_site_fract_y
_atom_site_fract_z
Be1 Be 0.000 0.000 0.000
Ge1 Ge 0.000 0.000 0.500
Pb1 Pb 0.500 0.500 0.500
```

Most stable structure, least stable structure: two, one.

## one
Material: Be2GePb
Method: DFT, PBE
State: optimized geometry

Properties
The calculated density is 6621 kg/m³. The density of states at the Fermi level comes out at 8.54 states/eV/cell.

Structure (CIF):
```
data_Be2GePb
_chemical_formula_sum 'Be8 Ge4 Pb4'
_cell_length_a 6.802
_cell_length_b 6.802
_cell_length_c 6.458
_cell_angle_alpha 90.00
_cell_angle_beta 90.00
_cell_angle_gamma 90.00
_space_group_name_H-M_alt 'I -4 2 d'
_space_group_IT_number 122
_space_group_name_Hall 'I -4 2bw'
loop_
_atom_site_label
_atom_site_type_symbol
_atom_site_fract_x
_atom_site_fract_y
_atom_site_fract_z
Be1 Be 0.184 0.250 0.125
Ge1 Ge 0.000 0.000 0.000
Pb1 Pb 0.000 0.000 0.500
```

## two
Material: Be2GePb
Method: DFT, PBE
State: optimized geometry

Properties
The calculated density is 7173 kg/m³. The density of states at the Fermi level comes out at 8.09 states/eV/cell.

Structure (CIF):
```
data_Be2GePb
_chemical_formula_sum 'Be8 Ge4 Pb4'
_cell_length_a 6.509
_cell_length_b 6.509
_cell_length_c 6.509
_cell_angle_alpha 90.00
_cell_angle_beta 90.00
_cell_angle_gamma 90.00
_space_group_name_H-M_alt 'F m -3 m'
_space_group_IT_number 225
_space_group_name_Hall '-F 4 2 3'
loop_
_atom_site_label
_atom_site_type_symbol
_atom_site_fract_x
_atom_site_fract_y
_atom_site_fract_z
Be1 Be 0.250 0.250 0.250
Ge1 Ge 0.000 0.000 0.000
Pb1 Pb 0.000 0.000 0.500
```

Most stable structure, least stable structure: one, two.

## one
Material: Be3GePb
Method: DFT, PBE
State: optimized geometry

Properties
The calculated density is 5902 kg/m³. The density of states at the Fermi level comes out at 2.35 states/eV/cell.

Structure (CIF):
```
data_Be3GePb
_chemical_formula_sum 'Be3 Ge1 Pb1'
_cell_length_a 4.420
_cell_length_b 4.420
_cell_length_c 4.420
_cell_angle_alpha 90.00
_cell_angle_beta 90.00
_cell_angle_gamma 90.00
_space_group_name_H-M_alt 'P m -3 m'
_space_group_IT_number 221
_space_group_name_Hall '-P 4 2 3'
loop_
_atom_site_label
_atom_site_type_symbol
_atom_site_fract_x
_atom_site_fract_y
_atom_site_fract_z
Be1 Be 0.000 0.000 0.500
Ge1 Ge 0.000 0.000 0.000
Pb1 Pb 0.500 0.500 0.500
```

## two
Material: Be3GePb
Method: DFT, PBE
State: optimized geometry

Properties
The calculated density is 5012 kg/m³. The density of states at the Fermi level comes out at 3.13 states/eV/cell.

Structure (CIF):
```
data_Be3GePb
_chemical_formula_sum 'Be3 Ge1 Pb1'
_cell_length_a 4.667
_cell_length_b 4.667
_cell_length_c 4.667
_cell_angle_alpha 90.00
_cell_angle_beta 90.00
_cell_angle_gamma 90.00
_space_group_name_H-M_alt 'P m -3 m'
_space_group_IT_number 221
_space_group_name_Hall '-P 4 2 3'
loop_
_atom_site_label
_atom_site_type_symbol
_atom_site_fract_x
_atom_site_fract_y
_atom_site_fract_z
Be1 Be 0.000 0.000 0.500
Ge1 Ge 0.500 0.500 0.500
Pb1 Pb 0.000 0.000 0.000
```

Most stable structure, least stable structure: one, two.

## one
Material: BeGePd
Method: DFT, PBE
State: optimized geometry

Properties
The calculated density is 7389 kg/m³. The density of states at the Fermi level comes out at 0.55 states/eV/cell.

Structure (CIF):
```
data_BeGePd
_chemical_formula_sum 'Be4 Ge4 Pd4'
_cell_length_a 7.988
_cell_length_b 4.562
_cell_length_c 4.639
_cell_angle_alpha 90.00
_cell_angle_beta 90.49
_cell_angle_gamma 90.00
_space_group_name_H-M_alt 'C 1 m 1'
_space_group_IT_number 8
loop_
_space_group_symop_operation_xyz
'x,y,z'
'x,-y,z'
'x+1/2,y+1/2,z'
'x+1/2,-y+1/2,z'
loop_
_atom_site_label
_atom_site_type_symbol
_atom_site_fract_x
_atom_site_fract_y
_atom_site_fract_z
Be1 Be 0.000 0.245 0.000
Ge1 Ge 0.249 0.000 0.964
Ge2 Ge 0.441 0.000 0.498
Pd1 Pd 0.081 0.000 0.498
Pd2 Pd 0.252 0.500 0.204
```

## two
Material: BeGePd
Method: DFT, PBE
State: optimized geometry

Properties
The calculated density is 7470 kg/m³. The density of states at the Fermi level comes out at 3.07 states/eV/cell.

Structure (CIF):
```
data_BeGePd
_chemical_formula_sum 'Be4 Ge4 Pd4'
_cell_length_a 11.351
_cell_length_b 2.860
_cell_length_c 5.152
_cell_angle_alpha 90.00
_cell_angle_beta 90.00
_cell_angle_gamma 90.00
_space_group_name_H-M_alt 'A m m 2'
_space_group_IT_number 38
loop_
_space_group_symop_operation_xyz
'x,y,z'
'-x,-y,z'
'-x,y,z'
'x,-y,z'
'x,y+1/2,z+1/2'
'-x,-y+1/2,z+1/2'
'-x,y+1/2,z+1/2'
'x,-y+1/2,z+1/2'
loop_
_atom_site_label
_atom_site_type_symbol
_atom_site_fract_x
_atom_site_fract_y
_atom_site_fract_z
Be1 Be 0.147 0.000 0.000
Ge1 Ge 0.316 0.000 0.644
Pd1 Pd 0.000 0.000 0.327
Pd2 Pd 0.500 0.000 0.315
```

## three
Material: BeGePd
Method: DFT, PBE
State: optimized geometry

Properties
The calculated density is 7730 kg/m³. The density of states at the Fermi level comes out at 2.09 states/eV/cell.

Structure (CIF):
```
data_BeGePd
_chemical_formula_sum 'Be4 Ge4 Pd4'
_cell_length_a 4.473
_cell_length_b 9.294
_cell_length_c 4.405
_cell_angle_alpha 90.00
_cell_angle_beta 118.05
_cell_angle_gamma 90.00
_space_group_name_H-M_alt 'C 1 c 1'
_space_group_IT_number 9
loop_
_space_group_symop_operation_xyz
'x,y,z'
'x,-y,z+1/2'
'x+1/2,y+1/2,z'
'x+1/2,-y+1/2,z+1/2'
loop_
_atom_site_label
_atom_site_type_symbol
_atom_site_fract_x
_atom_site_fract_y
_atom_site_fract_z
Be1 Be 0.000 0.129 0.000
Ge1 Ge 0.184 0.363 0.836
Pd1 Pd 0.332 0.107 0.656
```

Most stable structure, least stable structure: one, two.

## one
Material: BeGePd
Method: DFT, PBE
State: optimized geometry

Properties
The calculated density is 7446 kg/m³. The density of states at the Fermi level comes out at 1.25 states/eV/cell.

Structure (CIF):
```
data_BeGePd
_chemical_formula_sum 'Be2 Ge2 Pd2'
_cell_length_a 4.414
_cell_length_b 4.375
_cell_length_c 4.733
_cell_angle_alpha 90.00
_cell_angle_beta 113.38
_cell_angle_gamma 90.00
_space_group_name_H-M_alt 'P 1 21/m 1'
_space_group_IT_number 11
loop_
_space_group_symop_operation_xyz
'x,y,z'
'-x,-y,-z'
'-x,y+1/2,-z'
'x,-y+1/2,z'
loop_
_atom_site_label
_atom_site_type_symbol
_atom_site_fract_x
_atom_site_fract_y
_atom_site_fract_z
Be1 Be 0.119 0.250 0.466
Ge1 Ge 0.334 0.250 0.039
Pd1 Pd 0.285 0.750 0.338
```

## two
Material: BeGePd
Method: DFT, PBE
State: optimized geometry

Properties
The calculated density is 7384 kg/m³. The density of states at the Fermi level comes out at 7.04 states/eV/cell.

Structure (CIF):
```
data_BeGePd
_chemical_formula_sum 'Be6 Ge6 Pd6'
_cell_length_a 4.0646
_cell_length_b 4.0646
_cell_length_c 17.7363
_cell_angle_alpha 90.00
_cell_angle_beta 90.00
_cell_angle_gamma 120.00
_space_group_name_H-M_alt 'R 3 m'
_space_group_IT_number 160
_space_group_name_Hall 'R 3 -2"'
loop_
_atom_site_label
_atom_site_type_symbol
_atom_site_fract_x
_atom_site_fract_y
_atom_site_fract_z
Be1 Be 0.0000 0.0000 0.0000
Be2 Be 0.0000 0.0000 0.4243
Ge1 Ge 0.0000 0.0000 0.2840
Ge2 Ge 0.0000 0.0000 0.8576
Pd1 Pd 0.0000 0.0000 0.1339
Pd2 Pd 0.0000 0.0000 0.7028
```

## three
Material: BeGePd
Method: DFT, PBE
State: optimized geometry

Properties
The calculated density is 7411 kg/m³. The density of states at the Fermi level comes out at 1.94 states/eV/cell.

Structure (CIF):
```
data_BeGePd
_chemical_formula_sum 'Be2 Ge2 Pd2'
_cell_length_a 4.307
_cell_length_b 4.607
_cell_length_c 4.696
_cell_angle_alpha 83.82
_cell_angle_beta 65.51
_cell_angle_gamma 88.66
_space_group_name_H-M_alt 'P 1'
_space_group_IT_number 1
loop_
_space_group_symop_operation_xyz
'x,y,z'
loop_
_atom_site_label
_atom_site_type_symbol
_atom_site_fract_x
_atom_site_fract_y
_atom_site_fract_z
Be1 Be 0.000 0.000 0.000
Be2 Be 0.405 0.733 0.139
Ge1 Ge 0.305 0.192 0.438
Ge2 Ge 0.873 0.735 0.631
Pd1 Pd 0.555 0.214 0.846
Pd2 Pd 0.899 0.493 0.172
```

## four
Material: BeGePd
Method: DFT, PBE
State: optimized geometry

Properties
The calculated density is 7768 kg/m³. The density of states at the Fermi level comes out at 1.15 states/eV/cell.

Structure (CIF):
```
data_BeGePd
_chemical_formula_sum 'Be4 Ge4 Pd4'
_cell_length_a 4.610
_cell_length_b 4.536
_cell_length_c 7.690
_cell_angle_alpha 90.00
_cell_angle_beta 90.00
_cell_angle_gamma 90.00
_space_group_name_H-M_alt 'A e m 2'
_space_group_IT_number 39
loop_
_space_group_symop_operation_xyz
'x,y,z'
'-x,-y,z'
'-x,y+1/2,z'
'x,-y+1/2,z'
'x,y+1/2,z+1/2'
'-x,-y+1/2,z+1/2'
'-x,y,z+1/2'
'x,-y,z+1/2'
loop_
_atom_site_label
_atom_site_type_symbol
_atom_site_fract_x
_atom_site_fract_y
_atom_site_fract_z
Be1 Be 0.225 0.250 0.000
Ge1 Ge 0.213 0.250 0.680
Pd1 Pd 0.297 0.250 0.355
```

Most stable structure, least stable structure: two, three.

## one
Material: BeGePd
Method: DFT, PBE
State: optimized geometry

Properties
The calculated density is 7747 kg/m³. The density of states at the Fermi level comes out at 1.05 states/eV/cell.

Structure (CIF):
```
data_BeGePd
_chemical_formula_sum 'Be2 Ge2 Pd2'
_cell_length_a 3.144
_cell_length_b 3.296
_cell_length_c 7.780
_cell_angle_alpha 90.00
_cell_angle_beta 90.00
_cell_angle_gamma 90.00
_space_group_name_H-M_alt 'I m m 2'
_space_group_IT_number 44
loop_
_space_group_symop_operation_xyz
'x,y,z'
'-x,-y,z'
'-x,y,z'
'x,-y,z'
'x+1/2,y+1/2,z+1/2'
'-x+1/2,-y+1/2,z+1/2'
'-x+1/2,y+1/2,z+1/2'
'x+1/2,-y+1/2,z+1/2'
loop_
_atom_site_label
_atom_site_type_symbol
_atom_site_fract_x
_atom_site_fract_y
_atom_site_fract_z
Be1 Be 0.000 0.000 0.000
Ge1 Ge 0.000 0.000 0.322
Pd1 Pd 0.000 0.000 0.645
```

## two
Material: BeGePd
Method: DFT, PBE
State: optimized geometry

Properties
The calculated density is 7779 kg/m³. The density of states at the Fermi level comes out at 3.34 states/eV/cell.

Structure (CIF):
```
data_BeGePd
_chemical_formula_sum 'Be4 Ge4 Pd4'
_cell_length_a 10.657
_cell_length_b 3.030
_cell_length_c 5.170
_cell_angle_alpha 90.00
_cell_angle_beta 105.83
_cell_angle_gamma 90.00
_space_group_name_H-M_alt 'C 1 2/m 1'
_space_group_IT_number 12
loop_
_space_group_symop_operation_xyz
'x,y,z'
'-x,-y,-z'
'-x,y,-z'
'x,-y,z'
'x+1/2,y+1/2,z'
'-x+1/2,-y+1/2,-z'
'-x+1/2,y+1/2,-z'
'x+1/2,-y+1/2,z'
loop_
_atom_site_label
_atom_site_type_symbol
_atom_site_fract_x
_atom_site_fract_y
_atom_site_fract_z
Be1 Be 0.001 0.000 0.243
Ge1 Ge 0.155 0.500 0.603
Pd1 Pd 0.142 0.500 0.092
```

Most stable structure, least stable structure: two, one.